TiCuN2 (PBE, relaxed); space group = I-42d (122); density of states at the Fermi level = 17.26 states/eV/cell; raw formation energy = -446 meV/atom
1.0
4.5307 0.0000 0.0000
0.0000 4.5307 0.0000
0.0000 0.0000 9.1515
Ti Cu N
4 4 8
direct
0.0000 0.0000 0.0000
0.0000 0.5000 0.2500
0.5000 0.0000 0.7500
0.5000 0.5000 0.5000
0.0000 0.0000 0.5000
0.0000 0.5000 0.7500
0.5000 0.0000 0.2500
0.5000 0.5000 0.0000
0.2362 0.2500 0.1250
0.2500 0.7362 0.3750
0.2500 0.7638 0.8750
0.2638 0.2500 0.6250
0.7362 0.7500 0.6250
0.7500 0.2362 0.8750
0.7500 0.2638 0.3750
0.7638 0.7500 0.1250